# BaVTe2O8 | Alexandria | PBE with a Hubbard U | optimized geometry
# E ... -6.013 eV/atom
# Crystal system ... monoclinic
# Calculated volume ... 191.5 Å³/cell
# Space-group type ... C2/m (12)
data_BaVTe2O8
_chemical_formula_sum 'Ba1 V1 Te2 O8'
_cell_length_a 5.3470
_cell_length_b 5.7817
_cell_length_c 7.7151
_cell_angle_alpha 67.85
_cell_angle_beta 69.72
_cell_angle_gamma 62.46
_symmetry_space_group_name_H-M 'P 1'
_symmetry_Int_Tables_number 1
loop_
_symmetry_equiv_pos_as_xyz
'x,y,z'
loop_
_atom_site_label
_atom_site_type_symbol
_atom_site_fract_x
_atom_site_fract_y
_atom_site_fract_z
Ba1 Ba 0.5000 0.5000 0.5000
V1 V 0.0000 0.0000 0.0000
Te1 Te 0.3181 0.2131 0.1506
Te2 Te 0.6819 0.7869 0.8494
O1 O 0.8342 0.7201 0.6114
O2 O 0.8091 0.3391 0.0427
O3 O 0.1658 0.2799 0.3886
O4 O 0.1909 0.6609 0.9573
O5 O 0.6921 0.9066 0.1944
O6 O 0.3079 0.0934 0.8056
O7 O 0.2070 0.9066 0.1944
O8 O 0.7930 0.0934 0.8056

# Ba2VTeO6 | Alexandria | PBE with a Hubbard U | optimized geometry
# E ... -6.437 eV/atom
# Crystal system ... trigonal
# Calculated volume ... 308.5 Å³/cell
# Space-group type ... R-3m (166)
data_Ba2VTeO6
_chemical_formula_sum 'Ba4 V2 Te2 O12'
_cell_length_a 5.9764
_cell_length_b 5.9764
_cell_length_c 10.5528
_cell_angle_alpha 73.55
_cell_angle_beta 73.55
_cell_angle_gamma 60.00
_symmetry_space_group_name_H-M 'P 1'
_symmetry_Int_Tables_number 1
loop_
_symmetry_equiv_pos_as_xyz
'x,y,z'
loop_
_atom_site_label
_atom_site_type_symbol
_atom_site_fract_x
_atom_site_fract_y
_atom_site_fract_z
Ba1 Ba 0.8748 0.8748 0.3757
Ba2 Ba 0.1252 0.1252 0.6243
Ba3 Ba 0.7148 0.7148 0.8556
Ba4 Ba 0.2852 0.2852 0.1444
V1 V 0.5927 0.5927 0.2220
V2 V 0.4073 0.4073 0.7780
Te1 Te 0.0000 0.0000 0.0000
Te2 Te 0.5000 0.5000 0.5000
O1 O 0.8403 0.3899 0.3799
O2 O 0.3899 0.8403 0.3799
O3 O 0.3899 0.3899 0.3799
O4 O 0.1597 0.6101 0.6201
O5 O 0.6101 0.1597 0.6201
O6 O 0.6101 0.6101 0.6201
O7 O 0.7105 0.2102 0.8692
O8 O 0.2102 0.7105 0.8692
O9 O 0.2102 0.2102 0.8692
O10 O 0.2895 0.7898 0.1308
O11 O 0.7898 0.2895 0.1308
O12 O 0.7898 0.7898 0.1308

# BaVTeO2 | Alexandria | PBE with a Hubbard U | optimized geometry
# E ... -6.243 eV/atom
# Crystal system ... orthorhombic
# Calculated volume ... 205.2 Å³/cell
# Space-group type ... Cmcm (63)
data_BaVTeO2
_chemical_formula_sum 'Ba2 V2 Te2 O4'
_cell_length_a 4.1636
_cell_length_b 6.6749
_cell_length_c 7.7698
_cell_angle_alpha 90.00
_cell_angle_beta 90.00
_cell_angle_gamma 108.17
_symmetry_space_group_name_H-M 'P 1'
_symmetry_Int_Tables_number 1
loop_
_symmetry_equiv_pos_as_xyz
'x,y,z'
loop_
_atom_site_label
_atom_site_type_symbol
_atom_site_fract_x
_atom_site_fract_y
_atom_site_fract_z
Ba1 Ba 0.7191 0.4382 0.7500
Ba2 Ba 0.2809 0.5618 0.2500
V1 V 0.0000 0.0000 0.0000
V2 V 0.0000 0.0000 0.5000
Te1 Te 0.4477 0.8954 0.7500
Te2 Te 0.5523 0.1046 0.2500
O1 O 0.1386 0.2772 0.9527
O2 O 0.8614 0.7228 0.0473
O3 O 0.1386 0.2772 0.5473
O4 O 0.8614 0.7228 0.4527

# Ba3VTe2O9 | Alexandria | PBE with a Hubbard U | optimized geometry
# E ... -6.241 eV/atom
# Crystal system ... trigonal
# Calculated volume ... 224.9 Å³/cell
# Space-group type ... P-3m1 (164)
data_Ba3VTe2O9
_chemical_formula_sum 'Ba3 V1 Te2 O9'
_cell_length_a 5.9495
_cell_length_b 5.9495
_cell_length_c 7.3376
_cell_angle_alpha 90.00
_cell_angle_beta 90.00
_cell_angle_gamma 120.00
_symmetry_space_group_name_H-M 'P 1'
_symmetry_Int_Tables_number 1
loop_
_symmetry_equiv_pos_as_xyz
'x,y,z'
loop_
_atom_site_label
_atom_site_type_symbol
_atom_site_fract_x
_atom_site_fract_y
_atom_site_fract_z
Ba1 Ba 0.3333 0.6667 0.6665
Ba2 Ba 0.0000 0.0000 0.0000
Ba3 Ba 0.6667 0.3333 0.3335
V1 V 0.0000 0.0000 0.5000
Te1 Te 0.3333 0.6667 0.1789
Te2 Te 0.6667 0.3333 0.8211
O1 O 0.8332 0.1668 0.6629
O2 O 0.8332 0.6664 0.6629
O3 O 0.3336 0.1668 0.6629
O4 O 0.6664 0.8332 0.3371
O5 O 0.1668 0.3336 0.3371
O6 O 0.1668 0.8332 0.3371
O7 O 0.5000 0.0000 0.0000
O8 O 0.0000 0.5000 0.0000
O9 O 0.5000 0.5000 0.0000